# 1
! YInSe PBE relaxed; values from VASP
! Density of states at the Fermi level   2.046 states/eV per cell
! Spin magnetization   0.0 Bohr magnetons per cell
! Uncorrected formation energy   -0.9913 eV per atom
! Space-group type   No. 166
! ΔE to the lowest computed polymorph   0 meV/atom
! E_tot   -5.220 eV per atom
&SYSTEM
  ibrav = 0, nat = 6, ntyp = 3
/
ATOMIC_SPECIES
Se 78.96 Se.upf
In 114.82 In.upf
Y 88.91 Y.upf
CELL_PARAMETERS angstrom
-2.392 2.771 -2.975
-3.776 2.385 1.518
3.073 8.464 1.673
ATOMIC_POSITIONS angstrom
Se -1.430 2.541 -0.222
Se -1.664 11.079 0.439
In 0.743 5.400 0.693
In -3.838 8.220 -0.476
Y -2.993 4.909 -0.500
Y -0.102 8.711 0.717

---

# 2
! Li2Zn2AsO6 PBE relaxed; values from VASP
! Density of states at the Fermi level   6.977 states/eV per cell
! Spin magnetization   1.1 Bohr magnetons per cell
! Uncorrected formation energy   -1.3313 eV per atom
! Space-group type   No. 162
! E_tot   -5.038 eV per atom
&SYSTEM
  ibrav = 0, nat = 11, ntyp = 4
/
ATOMIC_SPECIES
As 74.92 As.upf
O 16.00 O.upf
Zn 65.41 Zn.upf
Li 6.94 Li.upf
CELL_PARAMETERS angstrom
-1.041 1.358 4.799
0.881 -4.890 -1.130
4.969 0.692 0.882
ATOMIC_POSITIONS angstrom
As 0.000 0.000 0.000
O 4.528 -2.855 -0.091
O 3.867 -0.531 1.813
O 0.737 0.560 1.649
O 0.943 -2.309 2.738
O 0.282 0.015 4.642
O 4.073 -3.400 2.902
Zn 4.569 -0.033 3.705
Zn 0.241 -2.807 0.846
Li 2.725 -2.461 1.287
Li 2.085 -0.379 3.264